Record 1
## ScIr2Au (GGA-PBEsol)

Data for a geometry-optimized ScIr2Au structure.

Lattice parameters (Å, degrees): 2.8203 4.8226 5.3954 116.18 104.57 91.26
Element x y z (fractional)
Sc  0.5000  0.0000  0.0000
Ir  0.0000  0.0000  0.5000
Ir  0.5000  0.5000  0.5000
Au  0.0000  0.5000  0.0000

space-group type = C2/m
spin magnetization = 0.00 μB per cell
relative energy among the computed polymorphs = 0 meV/atom



Record 2
## SbPAu2F (GGA-PBEsol)

Data for a geometry-optimized SbPAu2F structure.

Lattice parameters (Å, degrees): 3.7630 4.8652 4.8652 90.00 90.00 90.00
Element x y z (fractional)
Au  0.0000  0.0000  0.5000
Au  0.0000  0.5000  0.0000
F  0.5000  0.0000  0.0000
Sb  0.5000  0.5000  0.5000
P  0.0000  0.0000  0.0000

space-group type = P4/mmm
spin magnetization = 0.00 μB per cell
formation energy from raw total energies = -0.298 eV per atom



Record 3
## Co2SiAu (GGA-PBEsol)

Data for a geometry-optimized Co2SiAu structure.

Lattice parameters (Å, degrees): 2.6793 2.6793 8.0559 80.43 80.43 60.00
Site moments in Bohr magnetons follow the coordinates.
Element x y z (fractional)
Co  0.7616  0.7616  0.7153  0.20
Co  0.2384  0.2384  0.2847  0.20
Si  0.5000  0.5000  0.5000  -0.01
Au  0.0000  0.0000  0.0000  -0.01

space-group type = R-3m
spin magnetization = 0.36 μB per cell
formation energy from raw total energies = -0.090 eV per atom



Record 4
## NaMn7O12 (GGA-PBEsol)

Data for a geometry-optimized NaMn7O12 structure.

Lattice parameters (Å, degrees): 6.2911 6.2911 6.2911 109.47 109.47 109.47
Site moments in Bohr magnetons follow the coordinates.
Element x y z (fractional)
O  0.5062  0.6888  0.8174  0.08
O  0.1287  0.3112  0.8174  0.08
O  0.3112  0.1826  0.4938  0.08
O  0.8713  0.6888  0.1826  0.08
O  0.3112  0.8174  0.1287  0.08
O  0.6888  0.8174  0.5062  0.08
O  0.4938  0.3112  0.1826  0.08
O  0.8174  0.1287  0.3112  0.08
O  0.1826  0.8713  0.6888  0.08
O  0.8174  0.5062  0.6888  0.08
O  0.1826  0.4938  0.3112  0.08
O  0.6888  0.1826  0.8713  0.08
Na  0.0000  0.0000  0.0000  0.00
Mn  0.0000  0.5000  0.5000  3.70
Mn  0.0000  0.5000  0.0000  3.18
Mn  0.5000  0.5000  0.0000  3.70
Mn  0.0000  0.0000  0.5000  3.18
Mn  0.5000  0.0000  0.0000  3.18
Mn  0.5000  0.0000  0.5000  3.70
Mn  0.5000  0.5000  0.5000  3.18

space-group type = Im-3
spin magnetization = 25.85 μB per cell
formation energy from raw total energies = -1.640 eV per atom



Record 5
## YZr2Ru (GGA-PBEsol)

Data for a geometry-optimized YZr2Ru structure.

Lattice parameters (Å, degrees): 3.3273 5.0356 5.8821 115.34 106.43 90.00
Element x y z (fractional)
Zr  0.2094  0.2094  0.4188
Zr  0.7906  0.7906  0.5812
Ru  0.5000  0.0000  0.0000
Y  0.0000  0.5000  0.0000

space-group type = Immm
spin magnetization = 0.00 μB per cell
relative energy among the computed polymorphs = 0 meV/atom



Record 6
## SrY2Ir (GGA-PBEsol)

Data for a geometry-optimized SrY2Ir structure.

Lattice parameters (Å, degrees): 5.1292 5.1292 5.1292 60.00 60.00 60.00
Element x y z (fractional)
Y  0.7500  0.7500  0.7500
Y  0.2500  0.2500  0.2500
Sr  0.5000  0.5000  0.5000
Ir  0.0000  0.0000  0.0000

calculated total energy = -0.4671 Ry/atom
space-group type = Fm-3m
spin magnetization = 0.00 μB per cell



Record 7
## FePdS2Cl (GGA-PBEsol)

Data for a geometry-optimized FePdS2Cl structure.

Lattice parameters (Å, degrees): 4.6337 4.6337 4.6232 90.00 90.00 90.00
Site moments in Bohr magnetons follow the coordinates.
Element x y z (fractional)
Cl  0.0000  0.0000  0.5000  0.05
Fe  0.5000  0.5000  0.5000  3.51
S  0.5000  0.0000  0.0000  0.17
S  0.0000  0.5000  0.0000  0.17
Pd  0.0000  0.0000  0.0000  0.06

space-group type = P4/mmm
spin magnetization = 4.32 μB per cell
formation energy from raw total energies = 0.622 eV per atom



Record 8
## Ta2IrRu (GGA-PBEsol)

Data for a geometry-optimized Ta2IrRu structure.

Lattice parameters (Å, degrees): 2.9357 3.6436 5.8280 90.00 90.00 90.00
Element x y z (fractional)
Ru  0.5000  0.5000  0.5000
Ta  0.0000  0.0000  0.2527
Ta  0.0000  0.0000  0.7473
Ir  0.5000  0.5000  0.0000

calculated total energy = -0.8580 Ry/atom
space-group type = Pmmm
spin magnetization = 0.00 μB per cell



Record 9
## MgSbAs2 (GGA-PBEsol)

Data for a geometry-optimized MgSbAs2 structure.

Lattice parameters (Å, degrees): 3.7350 3.7350 6.2958 90.00 90.00 90.00
Element x y z (fractional)
As  0.0000  0.0000  0.0856
As  0.5000  0.5000  0.1991
Mg  0.0000  0.0000  0.5059
Sb  0.5000  0.5000  0.7094

space-group type = P4mm
spin magnetization = 0.00 μB per cell
formation energy from raw total energies = 0.022 eV per atom
relative energy among the computed polymorphs = 191 meV/atom



Record 10
## CaLaHg3 (GGA-PBEsol)

Data for a geometry-optimized CaLaHg3 structure.

Lattice parameters (Å, degrees): 5.3672 5.3672 5.3672 90.00 90.00 90.00
Element x y z (fractional)
Hg  0.0000  0.5000  0.0000
Hg  0.0000  0.0000  0.5000
Hg  0.5000  0.0000  0.0000
La  0.5000  0.5000  0.5000
Ca  0.0000  0.0000  0.0000

calculated total energy = -0.1297 Ry/atom
space-group type = Pm-3m
spin magnetization = 0.00 μB per cell



Record 11
## RbV2I3O13 (GGA-PBEsol)

Data for a geometry-optimized RbV2I3O13 structure.

Lattice parameters (Å, degrees): 7.8047 9.4356 9.4356 65.64 65.57 65.57
Element x y z (fractional)
V  0.1560  0.6101  0.6465
V  0.9127  0.8535  0.8899
V  0.4127  0.3899  0.3535
V  0.6560  0.1465  0.1101
O  0.2206  0.1873  0.8659
O  0.0688  0.7104  0.9866
O  0.3355  0.5000  0.5000
O  0.0079  0.7481  0.4499
O  0.6027  0.2268  0.4754
O  0.5688  0.4866  0.2104
O  0.7206  0.3659  0.6873
O  0.8049  0.0246  0.2732
O  0.1027  0.9754  0.7268
O  0.1847  0.5173  0.2812
O  0.4963  0.9153  0.5847
O  0.7059  0.0501  0.7519
O  0.2739  0.8127  0.1341
O  0.7739  0.6341  0.3127
O  0.6847  0.7812  0.0173
O  0.8355  0.0000  0.0000
O  0.9832  0.4827  0.7188
O  0.4543  0.2341  0.2659
O  0.4832  0.2188  0.9827
O  0.2657  0.5134  0.7896
O  0.7657  0.2896  0.0134
O  0.2059  0.2519  0.5501
O  0.3049  0.7732  0.5246
O  0.9543  0.7659  0.7341
O  0.5079  0.9499  0.2481
O  0.9963  0.0847  0.4153
Rb  0.5469  0.6387  0.8613
Rb  0.0469  0.3613  0.1387
I  0.2811  0.9847  0.5153
I  0.5412  0.2584  0.7560
I  0.5555  0.7416  0.2440
I  0.0412  0.2560  0.7584
I  0.7811  0.0153  0.4847
I  0.0555  0.7440  0.2416

space-group type = Ima2
spin magnetization = 0.00 μB per cell
formation energy from raw total energies = -1.228 eV per atom



Record 12
## Al3AgTe (GGA-PBEsol)

Data for a geometry-optimized Al3AgTe structure.

Lattice parameters (Å, degrees): 4.8760 4.8760 4.8760 90.00 90.00 90.00
Element x y z (fractional)
Te  0.5000  0.5000  0.5000
Ag  0.0000  0.0000  0.0000
Al  0.0000  0.5000  0.0000
Al  0.5000  0.0000  0.0000
Al  0.0000  0.0000  0.5000

space-group type = Pm-3m
spin magnetization = 0.00 μB per cell
formation energy from raw total energies = 0.242 eV per atom



Record 13
## TaHgSb (GGA-PBEsol)

Data for a geometry-optimized TaHgSb structure.

Lattice parameters (Å, degrees): 3.1646 3.1646 7.2818 90.00 90.00 120.00
Element x y z (fractional)
Sb  0.3333  0.6667  0.6467
Ta  0.6667  0.3333  0.3342
Hg  0.0000  0.0000  0.0190

space-group type = P3m1
spin magnetization = 0.00 μB per cell
formation energy from raw total energies = 0.292 eV per atom



Record 14
## SiTe4Cl (GGA-PBEsol)

Data for a geometry-optimized SiTe4Cl structure.

Lattice parameters (Å, degrees): 6.1378 6.1378 6.1378 60.00 60.00 60.00
Element x y z (fractional)
Cl  0.7500  0.7500  0.7500
Si  0.0000  0.0000  0.0000
Te  0.8762  0.3746  0.3746
Te  0.3746  0.3746  0.8762
Te  0.3746  0.8762  0.3746
Te  0.3746  0.3746  0.3746

space-group type = F-43m
spin magnetization = 0.00 μB per cell
formation energy from raw total energies = 0.441 eV per atom



Record 15
## TbInAu (GGA-PBEsol)

Data for a geometry-optimized TbInAu structure.

Lattice parameters (Å, degrees): 3.9018 7.6886 7.6886 120.00 90.00 90.00
Element x y z (fractional)
Tb  0.5000  0.5961  0.0000
Tb  0.5000  0.0000  0.5961
Tb  0.5000  0.4039  0.4039
Au  0.5000  0.0000  0.0000
Au  0.0000  0.3333  0.6667
Au  0.0000  0.6667  0.3333
In  0.0000  0.0000  0.2618
In  0.0000  0.7382  0.7382
In  0.0000  0.2618  0.0000

calculated total energy = -0.3508 Ry/atom
space-group type = P-62m
spin magnetization = 0.00 μB per cell



Record 16
## LaBi3Rh (GGA-PBEsol)

Data for a geometry-optimized LaBi3Rh structure.

Lattice parameters (Å, degrees): 5.2773 5.2773 5.2773 90.00 90.00 90.00
Element x y z (fractional)
Bi  0.5000  0.0000  0.0000
Bi  0.0000  0.0000  0.5000
Bi  0.0000  0.5000  0.0000
Rh  0.0000  0.0000  0.0000
La  0.5000  0.5000  0.5000

calculated total energy = -0.3974 Ry/atom
space-group type = Pm-3m
spin magnetization = 0.00 μB per cell



Record 17
## BaTl2Se (GGA-PBEsol)

Data for a geometry-optimized BaTl2Se structure.

Lattice parameters (Å, degrees): 4.4043 4.4043 7.1552 90.00 90.00 90.00
Element x y z (fractional)
Tl  0.5000  0.5000  0.2183
Tl  0.0000  0.0000  0.0651
Ba  0.0000  0.0000  0.5743
Se  0.5000  0.5000  0.6424

space-group type = P4mm
spin magnetization = 0.00 μB per cell
formation energy from raw total energies = -0.696 eV per atom



Record 18
## AlPt5 (GGA-PBEsol)

Data for a geometry-optimized AlPt5 structure.

Lattice parameters (Å, degrees): 2.7507 5.3648 6.5079 106.67 90.00 104.85
Element x y z (fractional)
Al  0.0063  0.0125  0.0127
Pt  0.3488  0.6976  0.7023
Pt  0.6692  0.3384  0.3348
Pt  0.0475  0.0951  0.5926
Pt  0.3888  0.7777  0.2546
Pt  0.7060  0.4121  0.9364

calculated total energy = -0.5057 Ry/atom
space-group type = Cm
spin magnetization = 0.00 μB per cell



Record 19
## CdFeCoSi2 (GGA-PBEsol)

Data for a geometry-optimized CdFeCoSi2 structure.

Lattice parameters (Å, degrees): 4.1931 4.1931 4.6543 90.00 90.00 90.00
Site moments in Bohr magnetons follow the coordinates.
Element x y z (fractional)
Si  0.5000  0.0000  0.0000  0.00
Si  0.0000  0.5000  0.0000  0.00
Fe  0.0000  0.0000  0.5000  2.93
Co  0.0000  0.0000  0.0000  0.22
Cd  0.5000  0.5000  0.5000  -0.03

space-group type = P4/mmm
spin magnetization = 3.08 μB per cell
formation energy from raw total energies = 0.403 eV per atom



Record 20
## EuZnGe (GGA-PBEsol)

Data for a geometry-optimized EuZnGe structure.

Lattice parameters (Å, degrees): 4.2755 4.2755 8.1520 90.00 90.00 120.00
Site moments in Bohr magnetons follow the coordinates.
Element x y z (fractional)
Eu  0.0000  0.0000  0.5000  6.76
Eu  0.0000  0.0000  0.0000  6.76
Ge  0.3333  0.6667  0.7500  -0.06
Ge  0.6667  0.3333  0.2500  -0.06
Zn  0.6667  0.3333  0.7500  0.02
Zn  0.3333  0.6667  0.2500  0.02

calculated total energy = -0.4635 Ry/atom
space-group type = P6_3/mmc
spin magnetization = 14.02 μB per cell